The following is a PBE calculation of crystalline Pr3Mg3In2Ga at its relaxed geometry, from OQMD.

## Properties
mass density	5.442	g/cm3
total magnetization	0.01	μB per formula unit
crystal system	hexagonal
total energy	-3.48	eV/atom

Unit cell a=7.740 b=7.740 c=4.676 alpha=90.00 beta=90.00 gamma=120.00
Sites, in units of the cell vectors:
1 Pr 0.000 0.412 0.000
2 Pr 0.412 0.000 0.000
3 Pr 0.588 0.588 0.000
4 Mg 0.000 0.763 0.500
5 Mg 0.237 0.237 0.500
6 Mg 0.763 0.000 0.500
7 In 0.333 0.667 0.500
8 In 0.667 0.333 0.500
9 Ga 0.000 0.000 0.000